Here is crystalline SiIrCl at its relaxed geometry from the Alexandria database. Energies are from GGA-PBE.

## Properties
**Crystal system**: cubic
**VASP energy**: -5.2077 eV/atom
**Relative energy among the computed polymorphs**: 2.85 eV/f.u.
**N(E_F)**: 0.72 states/eV per cell
**Volume**: 52.3 Å³ per cell

Lattice parameters (Å, degrees): 4.197 4.197 4.197 60.00 60.00 60.00
Sites, in units of the cell vectors:
Cl 0.500 0.500 0.500
Si 0.000 0.000 0.000
Ir 0.750 0.750 0.750

Here is crystalline SiIrCl at its relaxed geometry from the Alexandria database. Energies are from GGA-PBE.

## Properties
**Crystal system**: monoclinic
**VASP energy**: -5.8193 eV/atom
**Relative energy among the computed polymorphs**: 1.02 eV/f.u.
**N(E_F)**: 1.46 states/eV per cell
**Volume**: 217.0 Å³ per cell

Lattice parameters (Å, degrees): 12.128 3.102 12.136 90.00 151.63 90.00
Sites, in units of the cell vectors:
Si 0.610 0.497 0.725
Ir 0.906 0.000 0.930
Cl 0.022 0.111 0.812
Si 0.610 0.997 0.225
Si 0.110 0.503 0.225
Ir 0.406 0.500 0.930
Ir 0.406 0.000 0.430
Ir 0.906 0.500 0.430
Si 0.110 0.003 0.725
Cl 0.022 0.611 0.312
Cl 0.522 0.889 0.312
Cl 0.522 0.389 0.812

Here is crystalline SiIrCl2 at its relaxed geometry from the Alexandria database. Energies are from GGA-PBE.

## Properties
**Crystal system**: orthorhombic
**VASP energy**: -4.3496 eV/atom
**Relative energy among the computed polymorphs**: 2.17 eV/f.u.
**N(E_F)**: 2.48 states/eV per cell
**Volume**: 92.2 Å³ per cell

Lattice parameters (Å, degrees): 7.902 7.902 7.902 156.32 152.22 36.81
Sites, in units of the cell vectors:
Ir 0.750 0.250 0.500
Cl 0.607 0.607 0.000
Si 0.250 0.750 0.500
Cl 0.893 0.893 0.000

Here is crystalline SiIrCl2 at its relaxed geometry from the Alexandria database. Energies are from GGA-PBE.

## Properties
**Crystal system**: monoclinic
**VASP energy**: -4.4670 eV/atom
**Relative energy among the computed polymorphs**: 1.70 eV/f.u.
**N(E_F)**: 2.35 states/eV per cell
**Volume**: 89.7 Å³ per cell

Lattice parameters (Å, degrees): 7.891 7.891 3.917 91.57 91.57 21.59
Sites, in units of the cell vectors:
Si 0.250 0.250 0.250
Cl 0.109 0.109 0.016
Cl 0.391 0.391 0.484
Ir 0.750 0.750 0.750

Here is crystalline SiIrCl2 at its relaxed geometry from the Alexandria database. Energies are from GGA-PBE.

## Properties
**Crystal system**: orthorhombic
**VASP energy**: -4.0022 eV/atom
**Relative energy among the computed polymorphs**: 3.56 eV/f.u.
**N(E_F)**: 1.37 states/eV per cell
**Volume**: 69.7 Å³ per cell

Lattice parameters (Å, degrees): 4.533 4.533 4.471 67.62 67.62 104.47
Sites, in units of the cell vectors:
Si 0.000 0.500 0.500
Cl 0.500 0.500 0.000
Ir 0.500 0.000 0.500
Cl 0.000 0.000 0.000

Here is crystalline SiIrCl2 at its relaxed geometry from the Alexandria database. Energies are from GGA-PBE.

## Properties
**Crystal system**: orthorhombic
**VASP energy**: -3.9259 eV/atom
**Relative energy among the computed polymorphs**: 3.87 eV/f.u.
**N(E_F)**: 3.01 states/eV per cell
**Volume**: 67.1 Å³ per cell

Lattice parameters (Å, degrees): 2.950 5.307 4.286 90.00 90.00 90.00
Sites, in units of the cell vectors:
Cl 0.000 0.000 0.000
Si 0.000 0.500 0.500
Ir 0.500 0.000 0.500
Cl 0.500 0.500 0.000

Here is crystalline SiIrCl3 at its relaxed geometry from the Alexandria database. Energies are from GGA-PBE.

## Properties
**Crystal system**: cubic
**VASP energy**: -3.4903 eV/atom
**Relative energy among the computed polymorphs**: 0.00 eV/f.u.
**N(E_F)**: 2.02 states/eV per cell
**Volume**: 110.6 Å³ per cell

Lattice parameters (Å, degrees): 4.800 4.800 4.800 90.00 90.00 90.00
Sites, in units of the cell vectors:
Cl 0.000 0.500 0.000
Cl 0.000 0.000 0.500
Cl 0.500 0.000 0.000
Si 0.500 0.500 0.500
Ir 0.000 0.000 0.000

Here is crystalline Si2IrCl at its relaxed geometry from the Alexandria database. Energies are from GGA-PBE.

## Properties
**Crystal system**: orthorhombic
**VASP energy**: -4.7758 eV/atom
**Relative energy among the computed polymorphs**: 3.89 eV/f.u.
**N(E_F)**: 1.92 states/eV per cell
**Volume**: 61.5 Å³ per cell

Lattice parameters (Å, degrees): 2.805 4.797 4.568 90.00 90.00 90.00
Sites, in units of the cell vectors:
Ir 0.000 0.500 0.500
Si 0.000 0.000 0.000
Cl 0.500 0.000 0.500
Si 0.500 0.500 0.000

Here is crystalline Si2IrCl at its relaxed geometry from the Alexandria database. Energies are from GGA-PBE.

## Properties
**Crystal system**: orthorhombic
**VASP energy**: -5.0035 eV/atom
**Relative energy among the computed polymorphs**: 2.98 eV/f.u.
**N(E_F)**: 1.75 states/eV per cell
**Volume**: 66.6 Å³ per cell

Lattice parameters (Å, degrees): 6.027 6.027 6.027 153.10 137.53 50.99
Sites, in units of the cell vectors:
Ir 0.250 0.750 0.500
Si 0.448 0.448 0.000
Cl 0.750 0.250 0.500
Si 0.052 0.052 0.000

Here is crystalline SiIrCl at its relaxed geometry from the Alexandria database. Energies are from GGA-PBE.

## Properties
**Crystal system**: tetragonal
**VASP energy**: -5.8124 eV/atom
**Relative energy among the computed polymorphs**: 1.04 eV/f.u.
**N(E_F)**: 0.39 states/eV per cell
**Volume**: 55.0 Å³ per cell

Lattice parameters (Å, degrees): 6.318 6.318 6.318 152.14 152.13 39.82
Sites, in units of the cell vectors:
Ir 0.216 0.216 0.000
Si 0.805 0.805 0.000
Cl 0.980 0.980 0.000

Here is crystalline SiIrCl at its relaxed geometry from the Alexandria database. Energies are from GGA-PBE.

## Properties
**Crystal system**: trigonal
**VASP energy**: -5.5575 eV/atom
**Relative energy among the computed polymorphs**: 1.80 eV/f.u.
**N(E_F)**: 0.00 states/eV per cell
**Volume**: 64.0 Å³ per cell

Lattice parameters (Å, degrees): 3.654 3.654 5.538 90.00 90.00 120.00
Sites, in units of the cell vectors:
Si 0.333 0.667 0.539
Ir 0.667 0.333 0.382
Cl 0.000 0.000 0.079

Here is crystalline SiIrCl2 at its relaxed geometry from the Alexandria database. Energies are from GGA-PBE.

## Properties
**Crystal system**: monoclinic
**VASP energy**: -4.7762 eV/atom
**Relative energy among the computed polymorphs**: 0.47 eV/f.u.
**N(E_F)**: 1.66 states/eV per cell
**Volume**: 114.8 Å³ per cell

Lattice parameters (Å, degrees): 3.688 7.114 8.064 32.87 90.00 90.00
Sites, in units of the cell vectors:
Cl 0.500 0.144 0.435
Ir 0.000 0.594 0.525
Cl 0.000 0.992 0.013
Si 0.500 0.771 0.527

Here is crystalline Si2IrCl at its relaxed geometry from the Alexandria database. Energies are from GGA-PBE.

## Properties
**Crystal system**: orthorhombic
**VASP energy**: -5.3135 eV/atom
**Relative energy among the computed polymorphs**: 1.74 eV/f.u.
**N(E_F)**: 2.05 states/eV per cell
**Volume**: 65.5 Å³ per cell

Lattice parameters (Å, degrees): 3.157 2.933 7.077 90.00 90.00 90.00
Sites, in units of the cell vectors:
Si 0.000 0.000 0.543
Ir 0.500 0.500 0.750
Si 0.000 0.000 0.957
Cl 0.500 0.500 0.250

Here is crystalline SiIrCl2 at its relaxed geometry from the Alexandria database. Energies are from GGA-PBE.

## Properties
**Crystal system**: trigonal
**VASP energy**: -3.8281 eV/atom
**Relative energy among the computed polymorphs**: 4.26 eV/f.u.
**N(E_F)**: 3.21 states/eV per cell
**Volume**: 83.9 Å³ per cell

Lattice parameters (Å, degrees): 11.944 11.944 11.944 13.77 13.77 13.77
Sites, in units of the cell vectors:
Cl 0.058 0.058 0.058
Cl 0.942 0.942 0.942
Si 0.000 0.000 0.000
Ir 0.500 0.500 0.500

Here is crystalline SiIrCl at its relaxed geometry from the Alexandria database. Energies are from GGA-PBE.

## Properties
**Crystal system**: tetragonal
**VASP energy**: -6.1586 eV/atom
**Relative energy among the computed polymorphs**: 0.00 eV/f.u.
**N(E_F)**: 0.53 states/eV per cell
**Volume**: 155.3 Å³ per cell

Lattice parameters (Å, degrees): 4.048 4.048 9.475 90.00 90.00 90.00
Sites, in units of the cell vectors:
Si 0.000 0.500 0.872
Cl 0.000 0.500 0.656
Si 0.500 0.000 0.128
Ir 0.500 0.500 0.000
Cl 0.500 0.000 0.344
Ir 0.000 0.000 0.000

Here is crystalline Sm6SiIr2Cl3 at its relaxed geometry from the Alexandria database. Energies are from GGA-PBE.

## Properties
**Crystal system**: monoclinic
**VASP energy**: -5.9198 eV/atom
**N(E_F)**: 4.79 states/eV per cell
**Volume**: 324.8 Å³ per cell

Lattice parameters (Å, degrees): 4.109 8.712 9.711 106.69 102.21 90.00
Sites, in units of the cell vectors:
Cl 0.844 0.161 0.687
Sm 0.984 0.759 0.967
Ir 0.831 0.658 0.662
Sm 0.676 0.566 0.352
Cl 0.500 0.500 0.000
Cl 0.156 0.839 0.313
Sm 0.340 0.880 0.680
Sm 0.324 0.434 0.648
Sm 0.660 0.120 0.320
Ir 0.169 0.342 0.338
Si 0.500 0.000 0.000
Sm 0.016 0.241 0.033

Here is crystalline Sm4SiIrCl2 at its relaxed geometry from the Alexandria database. Energies are from GGA-PBE.

## Properties
**Crystal system**: monoclinic
**VASP energy**: -5.7377 eV/atom
**N(E_F)**: 6.22 states/eV per cell
**Volume**: 215.0 Å³ per cell

Lattice parameters (Å, degrees): 4.090 7.459 7.406 72.13 90.00 90.00
Sites, in units of the cell vectors:
Cl 0.500 0.000 0.500
Sm 0.500 0.714 0.250
Sm 0.000 0.291 0.228
Sm 0.500 0.286 0.750
Ir 0.500 0.500 0.000
Sm 0.000 0.709 0.772
Si 0.000 0.500 0.500
Cl 0.000 0.000 0.000

Here is crystalline Sm6Ir3Cl2 at its relaxed geometry from the Alexandria database. Energies are from GGA-PBE.

## Properties
**Crystal system**: monoclinic
**VASP energy**: -6.3131 eV/atom
**N(E_F)**: 6.15 states/eV per cell
**Volume**: 316.2 Å³ per cell

Lattice parameters (Å, degrees): 7.149 7.156 7.526 80.87 71.47 60.03
Sites, in units of the cell vectors:
Cl 0.166 0.667 0.500
Cl 0.834 0.333 0.500
Ir 0.000 0.000 0.000
Sm 0.733 0.000 0.795
Sm 0.596 0.331 0.210
Sm 0.404 0.669 0.790
Ir 0.330 0.339 0.000
Sm 0.927 0.669 0.210
Sm 0.267 0.000 0.205
Sm 0.073 0.331 0.790
Ir 0.670 0.661 0.000

Here is crystalline Sm3IrCl3 at its relaxed geometry from the Alexandria database. Energies are from GGA-PBE.

## Properties
**Crystal system**: cubic
**VASP energy**: -5.6779 eV/atom
**N(E_F)**: 11.52 states/eV per cell
**Volume**: 801.6 Å³ per cell

Lattice parameters (Å, degrees): 10.136 10.136 10.136 109.47 109.47 109.47
Sites, in units of the cell vectors:
Cl 0.250 0.750 0.250
Cl 0.000 0.750 0.500
Ir 0.000 0.000 0.250
Sm 0.738 0.262 0.750
Cl 0.500 0.750 0.000
Sm 0.738 0.476 0.488
Sm 0.250 0.012 0.488
Sm 0.250 0.238 0.262
Cl 0.750 0.000 0.500
Cl 0.250 0.000 0.000
Sm 0.976 0.488 0.238
Cl 0.250 0.500 0.500
Sm 0.988 0.750 0.012
Cl 0.500 0.000 0.750
Ir 0.750 0.500 0.000
Sm 0.988 0.238 0.476
Sm 0.512 0.488 0.750
Sm 0.762 0.012 0.024
Cl 0.500 0.500 0.250
Ir 0.500 0.250 0.500
Cl 0.000 0.500 0.750
Ir 0.750 0.250 0.250
Cl 0.750 0.750 0.750
Sm 0.512 0.024 0.262
Cl 0.250 0.250 0.750
Cl 0.000 0.250 0.000
Sm 0.524 0.262 0.012
Sm 0.762 0.750 0.238

Here is crystalline SmIrCl6 at its relaxed geometry from the Alexandria database. Energies are from GGA-PBE.

## Properties
**Crystal system**: trigonal
**VASP energy**: -4.3472 eV/atom
**Volume**: 204.2 Å³ per cell

Lattice parameters (Å, degrees): 6.368 6.368 6.879 62.43 62.43 60.00
Sites, in units of the cell vectors:
Cl 0.222 0.932 0.234
Cl 0.613 0.222 0.234
Cl 0.778 0.068 0.766
Cl 0.387 0.778 0.766
Cl 0.068 0.387 0.766
Ir 0.000 0.000 0.000
Sm 0.500 0.500 0.500
Cl 0.932 0.613 0.234

Here is crystalline Sm2IrCl2 at its relaxed geometry from the Alexandria database. Energies are from GGA-PBE.

## Properties
**Crystal system**: monoclinic
**VASP energy**: -5.8753 eV/atom
**N(E_F)**: 2.96 states/eV per cell
**Volume**: 153.5 Å³ per cell

Lattice parameters (Å, degrees): 4.025 4.028 11.154 80.63 79.60 60.02
Sites, in units of the cell vectors:
Cl 0.552 0.084 0.811
Cl 0.448 0.916 0.189
Sm 0.278 0.793 0.652
Sm 0.722 0.207 0.348
Ir 0.000 0.500 0.500

Here is crystalline SmIrCl at its relaxed geometry from the Alexandria database. Energies are from GGA-PBE.

## Properties
**Crystal system**: monoclinic
**VASP energy**: -6.0776 eV/atom
**Relative energy among the computed polymorphs**: 1.36 eV/f.u.
**N(E_F)**: 3.60 states/eV per cell
**Volume**: 157.1 Å³ per cell

Lattice parameters (Å, degrees): 5.368 3.984 10.698 68.32 75.47 47.64
Sites, in units of the cell vectors:
Ir 0.876 0.350 0.898
Cl 0.265 0.124 0.347
Sm 0.649 0.520 0.183
Cl 0.735 0.876 0.653
Sm 0.351 0.480 0.817
Ir 0.124 0.650 0.102

Here is crystalline SmIrCl at its relaxed geometry from the Alexandria database. Energies are from GGA-PBE.

## Properties
**Crystal system**: monoclinic
**VASP energy**: -6.5326 eV/atom
**Relative energy among the computed polymorphs**: 0.00 eV/f.u.
**N(E_F)**: 3.25 states/eV per cell
**Volume**: 168.7 Å³ per cell

Lattice parameters (Å, degrees): 4.289 4.289 10.588 88.46 88.46 60.02
Sites, in units of the cell vectors:
Cl 0.681 0.681 0.168
Sm 0.992 0.992 0.679
Cl 0.319 0.319 0.832
Sm 0.008 0.008 0.321
Ir 0.334 0.334 0.495
Ir 0.666 0.666 0.505

Here is crystalline Sm4Ir2Cl3 at its relaxed geometry from the Alexandria database. Energies are from GGA-PBE.

## Properties
**Crystal system**: trigonal
**VASP energy**: -6.0356 eV/atom
**N(E_F)**: 4.33 states/eV per cell
**Volume**: 254.7 Å³ per cell

Lattice parameters (Å, degrees): 4.035 4.035 18.060 89.99 90.01 120.01
Sites, in units of the cell vectors:
Sm 0.666 0.334 0.124
Ir 0.333 0.667 0.209
Sm 0.334 0.666 0.876
Cl 0.334 0.666 0.601
Cl 0.666 0.334 0.399
Sm 0.000 0.000 0.302
Cl 0.000 0.000 0.000
Sm 0.000 0.000 0.698
Ir 0.667 0.333 0.791

Here is crystalline Sm4Te2IrCl at its relaxed geometry from the Alexandria database. Energies are from GGA-PBE.

## Properties
**Crystal system**: monoclinic
**VASP energy**: -5.7303 eV/atom
**N(E_F)**: 5.11 states/eV per cell
**Volume**: 229.2 Å³ per cell

Lattice parameters (Å, degrees): 4.197 7.689 7.485 71.60 90.00 90.00
Sites, in units of the cell vectors:
Cl 0.500 0.500 0.000
Te 0.500 0.000 0.500
Sm 0.000 0.727 0.740
Ir 0.000 0.500 0.500
Sm 0.500 0.291 0.713
Te 0.000 0.000 0.000
Sm 0.500 0.709 0.287
Sm 0.000 0.273 0.260

Here is crystalline Sm8Te4Ir3Cl at its relaxed geometry from the Alexandria database. Energies are from GGA-PBE.

## Properties
**Crystal system**: trigonal
**VASP energy**: -6.0722 eV/atom
**N(E_F)**: 9.50 states/eV per cell
**Volume**: 459.2 Å³ per cell

Lattice parameters (Å, degrees): 8.471 8.861 8.472 118.56 120.00 90.00
Sites, in units of the cell vectors:
Te 0.000 0.000 0.500
Ir 0.500 0.500 0.000
Cl 0.000 0.500 0.000
Sm 0.751 0.286 0.502
Ir 0.500 0.500 0.500
Te 0.000 0.000 0.000
Sm 0.283 0.286 0.035
Sm 0.265 0.294 0.530
Te 0.500 0.000 0.000
Sm 0.751 0.286 0.035
Sm 0.249 0.714 0.498
Sm 0.717 0.714 0.965
Te 0.500 0.000 0.500
Sm 0.249 0.714 0.965
Sm 0.735 0.706 0.470
Ir 0.000 0.500 0.500